The following is a DFT calculation (GGA-PBE) of a relaxed CeSm5Dy12 crystal.

* DOS at the Fermi energy: 26.62 states/eV/cell
* ΔE_f: 0.53 eV/f.u.

```
CeSm5Dy12
1.0
10.699 -0.002 -0.033
5.354 9.200 1.056
0.019 1.358 6.024
Ce Sm Dy
1 5 12
Cartesian
0.000 0.000 0.000
5.359 0.678 2.996
5.364 6.827 3.686
10.708 3.729 3.362
10.704 6.130 0.684
5.368 4.426 6.363
8.935 0.677 2.984
1.783 0.679 3.007
12.531 10.557 7.057
3.542 0.000 -0.010
7.141 6.145 0.697
14.267 6.144 0.676
1.805 4.412 6.372
8.932 4.411 6.350
7.147 3.745 3.351
12.502 6.810 3.686
3.571 3.746 3.361
8.925 6.811 3.696
```

The following is a DFT calculation (GGA-PBE) of a relaxed CrRuSe2 crystal.

* E above lowest polymorph: 3.61 eV/f.u.
* uncorrected formation energy: 0.63 eV/atom
* DOS at the Fermi energy: 4.75 states/eV/cell

```
CrRuSe2
1.0
-0.162 0.874 -4.445
2.910 -2.034 -2.818
-1.477 -3.172 -2.881
Cr Ru Se
1 1 2
Cartesian
0.635 -2.166 -5.072
0.953 -3.249 -7.607
0.000 0.000 0.000
0.318 -1.083 -2.536
```

The following is a DFT calculation (GGA-PBE) of a relaxed Y3Sn3Rh crystal.

* DOS at the Fermi energy: 10.44 states/eV/cell
* ΔE_f: -5.67 eV/f.u.

```
Y3Sn3Rh
1.0
-0.359 0.299 4.475
0.372 -5.378 2.650
13.882 0.952 3.311
Y Sn Rh
6 6 2
Cartesian
8.537 -1.068 5.279
5.358 -3.060 5.157
3.312 -0.948 2.590
10.583 -3.179 7.846
12.762 -0.483 5.579
1.133 -3.645 4.857
7.422 -3.304 7.601
6.473 -0.824 2.836
13.077 -3.503 5.805
0.818 -0.625 4.631
3.206 -3.825 7.297
10.689 -0.303 3.139
5.104 0.047 4.929
8.791 -4.175 5.507
```

The following is a DFT calculation (GGA-PBE) of a relaxed Ac2Ga2I crystal.

* E above lowest polymorph: 0.37 eV/f.u.
* uncorrected formation energy: -0.77 eV/atom
* DOS at the Fermi energy: 3.85 states/eV/cell

```
Ac2Ga2I
1.0
4.387 0.000 0.000
0.000 8.140 -0.880
-2.193 -3.034 10.065
Ac Ga I
4 4 2
Cartesian
2.193 0.300 2.807
2.194 4.370 2.366
0.000 4.805 6.379
0.000 0.735 6.819
2.198 2.634 5.320
0.005 6.542 3.425
-0.005 2.472 3.865
2.188 -1.436 5.760
2.694 6.105 -0.660
1.693 2.035 -0.220
```

The following is a DFT calculation (GGA-PBE) of a relaxed TlAg6Au crystal.

* DOS at the Fermi energy: 0.79 states/eV/cell
* ΔE_f: 0.21 eV/f.u.

```
TlAg6Au
1.0
4.876 0.000 0.000
0.000 5.957 -0.193
0.000 -2.811 5.256
Tl Ag Au
1 6 1
Cartesian
2.438 0.842 2.986
0.000 -0.708 2.156
0.000 0.900 4.743
0.000 2.336 2.057
2.438 2.245 0.357
2.438 3.820 2.892
2.438 5.228 0.260
0.000 -2.080 4.802
```

The following is a DFT calculation (GGA-PBE) of a relaxed TaSiAgS2 crystal.

* uncorrected formation energy: 0.46 eV/atom
* DOS at the Fermi energy: 3.45 states/eV/cell

```
TaSiAgS2
1.0
4.673 0.000 0.000
0.000 5.409 0.000
0.000 0.000 4.673
S Si Ag Ta
2 1 1 1
Cartesian
0.000 0.000 2.337
2.337 0.000 0.000
2.337 2.704 2.337
0.000 2.704 0.000
0.000 0.000 0.000
```

Number 1: E_tot -4.68 eV/atom. Number 2: E_tot -5.84 eV/atom. Number 3: E_tot -6.35 eV/atom. Number 4: E_tot -3.94 eV/atom. Number 5: E_tot -2.82 eV/atom. Number 6: E_tot -5.22 eV/atom.